# PBE Np2UPd9, relaxed
# Formation energy   -10.67 kcal/mol of atoms
# Fermi-level density of states   30.6 states/eV/f.u.
data_Np2UPd9
_chemical_formula_sum 'Np2 U1 Pd9'
_space_group_name_H-M_alt 'P 4/m m m'
_space_group_IT_number 123
_space_group_name_Hall '-P 4 2'
_cell_length_a 4.1432
_cell_length_b 4.1432
_cell_length_c 12.4843
_cell_angle_alpha 90.00
_cell_angle_beta 90.00
_cell_angle_gamma 90.00
loop_
_atom_site_label
_atom_site_type_symbol
_atom_site_fract_x
_atom_site_fract_y
_atom_site_fract_z
_atom_site_occupancy
Np1 Np 0.0000 0.0000 0.1652 1
U1 U 0.0000 0.0000 0.5000 1
Pd1 Pd 0.0000 0.5000 0.0000 1
Pd2 Pd 0.0000 0.5000 0.3361 1
Pd3 Pd 0.5000 0.5000 0.1678 1
Pd4 Pd 0.5000 0.5000 0.5000 1


# PBE BeFe2Ru, relaxed
# Formation energy   1.27 kcal/mol of atoms
# Fermi-level density of states   3.6 states/eV/f.u.
data_BeFe2Ru
_chemical_formula_sum 'Be2 Fe4 Ru2'
_space_group_name_H-M_alt 'C m m m'
_space_group_IT_number 65
_space_group_name_Hall '-C 2 2'
_cell_length_a 4.8558
_cell_length_b 7.4896
_cell_length_c 2.5478
_cell_angle_alpha 90.00
_cell_angle_beta 90.00
_cell_angle_gamma 90.00
loop_
_atom_site_label
_atom_site_type_symbol
_atom_site_fract_x
_atom_site_fract_y
_atom_site_fract_z
_atom_site_occupancy
Be1 Be 0.0000 0.0000 0.0000 1
Fe1 Fe 0.2500 0.2500 0.5000 1
Ru1 Ru 0.0000 0.5000 0.0000 1